(1)
Entry from Alexandria: a geometry-optimized LiAg2Rh structure (PBE-GGA).

Results
Symmetry = No. 160

```
data_LiAg2Rh
_chemical_formula_sum 'Li1 Ag2 Rh1'
_cell_length_a 9.468
_cell_length_b 9.468
_cell_length_c 9.468
_cell_angle_alpha 17.06
_cell_angle_beta 17.06
_cell_angle_gamma 17.06
_symmetry_space_group_name_H-M 'P 1'
_symmetry_Int_Tables_number 1
loop_
_symmetry_equiv_pos_as_xyz
'x,y,z'
loop_
_atom_site_label
_atom_site_fract_x
_atom_site_fract_y
_atom_site_fract_z
_atom_site_occupancy
Ag1 0.004 0.004 0.004 1
Ag2 0.246 0.246 0.246 1
Rh1 0.755 0.755 0.755 1
Li1 0.495 0.495 0.495 1
```

(2)
Entry from Alexandria: a geometry-optimized BaOsRu structure (PBE-GGA).

Results
Symmetry = No. 216
E above lowest polymorph = 1113.5 meV/atom

```
data_BaOsRu
_chemical_formula_sum 'Ba1 Os1 Ru1'
_cell_length_a 4.679
_cell_length_b 4.679
_cell_length_c 4.679
_cell_angle_alpha 60.00
_cell_angle_beta 60.00
_cell_angle_gamma 60.00
_symmetry_space_group_name_H-M 'P 1'
_symmetry_Int_Tables_number 1
loop_
_symmetry_equiv_pos_as_xyz
'x,y,z'
loop_
_atom_site_label
_atom_site_fract_x
_atom_site_fract_y
_atom_site_fract_z
_atom_site_occupancy
Ru1 0.250 0.250 0.250 1
Ba1 0.750 0.750 0.750 1
Os1 0.500 0.500 0.500 1
```

(3)
Entry from Alexandria: a geometry-optimized YZn2IrPb structure (PBE-GGA).

Results
Symmetry = No. 123

```
data_YZn2IrPb
_chemical_formula_sum 'Y1 Zn2 Ir1 Pb1'
_cell_length_a 4.889
_cell_length_b 5.245
_cell_length_c 4.889
_cell_angle_alpha 90.00
_cell_angle_beta 90.00
_cell_angle_gamma 90.00
_symmetry_space_group_name_H-M 'P 1'
_symmetry_Int_Tables_number 1
loop_
_symmetry_equiv_pos_as_xyz
'x,y,z'
loop_
_atom_site_label
_atom_site_fract_x
_atom_site_fract_y
_atom_site_fract_z
_atom_site_occupancy
Y1 0.000 0.500 0.000 1
Ir1 0.000 0.000 0.000 1
Zn1 0.500 0.000 0.000 1
Zn2 0.000 0.000 0.500 1
Pb1 0.500 0.500 0.500 1
```

(4)
Entry from Alexandria: a geometry-optimized AcDyRhAu structure (PBE-GGA).

Results
Symmetry = No. 216

```
data_AcDyRhAu
_chemical_formula_sum 'Ac1 Dy1 Rh1 Au1'
_cell_length_a 5.198
_cell_length_b 5.198
_cell_length_c 5.198
_cell_angle_alpha 60.00
_cell_angle_beta 60.00
_cell_angle_gamma 60.00
_symmetry_space_group_name_H-M 'P 1'
_symmetry_Int_Tables_number 1
loop_
_symmetry_equiv_pos_as_xyz
'x,y,z'
loop_
_atom_site_label
_atom_site_fract_x
_atom_site_fract_y
_atom_site_fract_z
_atom_site_occupancy
Rh1 0.750 0.750 0.750 1
Au1 0.250 0.250 0.250 1
Ac1 0.000 0.000 0.000 1
Dy1 0.500 0.500 0.500 1
```

(5)
Entry from Alexandria: a geometry-optimized SmLu2Bi structure (PBE-GGA).

Results
Symmetry = No. 123
E above lowest polymorph = 5.9 meV/atom

```
data_SmLu2Bi
_chemical_formula_sum 'Sm1 Lu2 Bi1'
_cell_length_a 3.982
_cell_length_b 3.982
_cell_length_c 7.456
_cell_angle_alpha 90.00
_cell_angle_beta 90.00
_cell_angle_gamma 90.00
_symmetry_space_group_name_H-M 'P 1'
_symmetry_Int_Tables_number 1
loop_
_symmetry_equiv_pos_as_xyz
'x,y,z'
loop_
_atom_site_label
_atom_site_fract_x
_atom_site_fract_y
_atom_site_fract_z
_atom_site_occupancy
Sm1 0.500 0.500 0.500 1
Lu1 0.000 0.000 0.772 1
Lu2 0.000 0.000 0.228 1
Bi1 0.500 0.500 0.000 1
```

(6)
Entry from Alexandria: a geometry-optimized TbTl2Si2O6 structure (PBE-GGA).

Results
Symmetry = No. 12

```
data_TbTl2Si2O6
_chemical_formula_sum 'Tb1 Tl2 Si2 O6'
_cell_length_a 5.949
_cell_length_b 5.949
_cell_length_c 6.877
_cell_angle_alpha 115.67
_cell_angle_beta 90.00
_cell_angle_gamma 120.00
_symmetry_space_group_name_H-M 'P 1'
_symmetry_Int_Tables_number 1
loop_
_symmetry_equiv_pos_as_xyz
'x,y,z'
loop_
_atom_site_label
_atom_site_fract_x
_atom_site_fract_y
_atom_site_fract_z
_atom_site_occupancy
Si1 0.927 0.855 0.780 1
Si2 0.073 0.145 0.220 1
O1 0.218 0.973 0.727 1
O2 0.755 0.510 0.724 1
O3 0.244 0.027 0.273 1
O4 0.245 0.490 0.276 1
O5 0.782 0.027 0.273 1
O6 0.756 0.973 0.727 1
Tl1 0.716 0.432 0.149 1
Tl2 0.284 0.568 0.851 1
Tb1 0.500 0.000 0.500 1
```

(7)
Entry from Alexandria: a geometry-optimized CaCuW structure (PBE-GGA).

Results
Symmetry = No. 216
E above lowest polymorph = 676.2 meV/atom

```
data_CaCuW
_chemical_formula_sum 'Ca1 Cu1 W1'
_cell_length_a 4.496
_cell_length_b 4.496
_cell_length_c 4.496
_cell_angle_alpha 60.00
_cell_angle_beta 60.00
_cell_angle_gamma 60.00
_symmetry_space_group_name_H-M 'P 1'
_symmetry_Int_Tables_number 1
loop_
_symmetry_equiv_pos_as_xyz
'x,y,z'
loop_
_atom_site_label
_atom_site_fract_x
_atom_site_fract_y
_atom_site_fract_z
_atom_site_occupancy
Cu1 0.250 0.250 0.250 1
Ca1 0.500 0.500 0.500 1
W1 0.000 0.000 0.000 1
```

(8)
Entry from Alexandria: a geometry-optimized Li2FeHg structure (PBE-GGA).

Results
Symmetry = No. 166

```
data_Li2FeHg
_chemical_formula_sum 'Li2 Fe1 Hg1'
_cell_length_a 9.479
_cell_length_b 9.479
_cell_length_c 9.479
_cell_angle_alpha 17.38
_cell_angle_beta 17.38
_cell_angle_gamma 17.38
_symmetry_space_group_name_H-M 'P 1'
_symmetry_Int_Tables_number 1
loop_
_symmetry_equiv_pos_as_xyz
'x,y,z'
loop_
_atom_site_label
_atom_site_fract_x
_atom_site_fract_y
_atom_site_fract_z
_atom_site_occupancy
Fe1 0.250 0.250 0.250 1
Hg1 0.750 0.750 0.750 1
Li1 0.994 0.994 0.994 1
Li2 0.506 0.506 0.506 1
```

no.,E (eV per atom),total magnetization (μB/atom)
1,-3.708,0.094
2,-6.029,0.385
3,-4.417,0.000
4,-5.499,0.000
5,-4.707,0.000
6,-6.739,0.091
7,-5.066,0.674
8,-2.951,0.564